Record 1
# CeHoFeC PBE optimized geometry
# Size of the total moment ... 0.00 μB per formula unit
# DOS at the Fermi energy ... 7.7 states/eV/cell
# Energy ... -6.8844 eV per atom
data_CeHoFeC
_chemical_formula_sum 'Ce2 Ho2 Fe2 C2'
_space_group_name_H-M_alt 'P 4/n m m'
_space_group_IT_number 129
_cell_length_a 3.639
_cell_length_b 3.639
_cell_length_c 10.978
_cell_angle_alpha 90.00
_cell_angle_beta 90.00
_cell_angle_gamma 90.00
loop_
_space_group_symop_operation_xyz
'x,y,z'
'-x,-y,-z'
'-y+1/2,x,z'
'y+1/2,-x,-z'
'-x+1/2,-y+1/2,z'
'x+1/2,y+1/2,-z'
'y,-x+1/2,z'
'-y,x+1/2,-z'
'x+1/2,-y,-z'
'-x+1/2,y,z'
'-y,-x,-z'
'y,x,z'
'-x,y+1/2,-z'
'x,-y+1/2,z'
'y+1/2,x+1/2,-z'
'-y+1/2,-x+1/2,z'
loop_
_atom_site_label
_atom_site_type_symbol
_atom_site_fract_x
_atom_site_fract_y
_atom_site_fract_z
Ce1 Ce 0.250 0.750 0.000
Ho1 Ho 0.250 0.250 0.303
Fe1 Fe 0.250 0.750 0.500
C1 C 0.250 0.250 0.577


Record 2
# Rb2GaHg2 PBE optimized geometry
# Size of the total moment ... 0.00 μB per formula unit
# DOS at the Fermi energy ... 8.2 states/eV/cell
# Energy above the most stable polymorph in this dataset ... 0.128 eV per atom
data_Rb2GaHg2
_chemical_formula_sum 'Rb4 Ga2 Hg4'
_space_group_name_H-M_alt 'P 4/m b m'
_space_group_IT_number 127
_space_group_name_Hall '-P 4 2ab'
_cell_length_a 10.463
_cell_length_b 10.463
_cell_length_c 3.665
_cell_angle_alpha 90.00
_cell_angle_beta 90.00
_cell_angle_gamma 90.00
loop_
_atom_site_label
_atom_site_type_symbol
_atom_site_fract_x
_atom_site_fract_y
_atom_site_fract_z
Rb1 Rb 0.189 0.311 0.000
Ga1 Ga 0.000 0.000 0.000
Hg1 Hg 0.104 0.604 0.500


Record 3
# InTcRh2 PBE optimized geometry
# Size of the total moment ... 0.00 μB per formula unit
# DOS at the Fermi energy ... 3.1 states/eV/cell
# Energy ... -6.8508 eV per atom
data_InTcRh2
_chemical_formula_sum 'In1 Tc1 Rh2'
_space_group_name_H-M_alt 'P 4 m m'
_space_group_IT_number 99
_space_group_name_Hall 'P 4 -2'
_cell_length_a 3.177
_cell_length_b 3.177
_cell_length_c 6.323
_cell_angle_alpha 90.00
_cell_angle_beta 90.00
_cell_angle_gamma 90.00
loop_
_atom_site_label
_atom_site_type_symbol
_atom_site_fract_x
_atom_site_fract_y
_atom_site_fract_z
In1 In 0.000 0.000 0.000
Tc1 Tc 0.500 0.500 0.708
Rh1 Rh 0.000 0.000 0.504
Rh2 Rh 0.500 0.500 0.249


Record 4
# Rb3Ac3AgO8 PBE optimized geometry
# Size of the total moment ... 1.10 μB per formula unit
# DOS at the Fermi energy ... 2.2 states/eV/cell
# E_form (uncorrected) ... -1944 meV/atom
data_Rb3Ac3AgO8
_chemical_formula_sum 'Rb6 Ac6 Ag2 O16'
_space_group_name_H-M_alt 'C 1 2/m 1'
_space_group_IT_number 12
_space_group_name_Hall '-C 2y'
_cell_length_a 12.947
_cell_length_b 7.573
_cell_length_c 7.944
_cell_angle_alpha 90.00
_cell_angle_beta 123.44
_cell_angle_gamma 90.00
loop_
_atom_site_label
_atom_site_type_symbol
_atom_site_fract_x
_atom_site_fract_y
_atom_site_fract_z
Rb1 Rb 0.000 0.000 0.000
Rb2 Rb 0.250 0.250 0.000
Ac1 Ac 0.000 0.500 0.500
Ac2 Ac 0.250 0.250 0.500
Ag1 Ag 0.000 0.000 0.500
O1 O 0.018 0.237 0.319
O2 O 0.196 0.000 0.662
O3 O 0.230 0.500 0.684


Record 5
# InPPt2 PBE optimized geometry
# Size of the total moment ... 0.00 μB per formula unit
# DOS at the Fermi energy ... 9.8 states/eV/cell
# Energy above the most stable polymorph in this dataset ... 0.344 eV per atom
data_InPPt2
_chemical_formula_sum 'In4 P4 Pt8'
_space_group_name_H-M_alt 'F m -3 m'
_space_group_IT_number 225
_space_group_name_Hall '-F 4 2 3'
_cell_length_a 6.452
_cell_length_b 6.452
_cell_length_c 6.452
_cell_angle_alpha 90.00
_cell_angle_beta 90.00
_cell_angle_gamma 90.00
loop_
_atom_site_label
_atom_site_type_symbol
_atom_site_fract_x
_atom_site_fract_y
_atom_site_fract_z
In1 In 0.000 0.000 0.000
P1 P 0.000 0.000 0.500
Pt1 Pt 0.250 0.250 0.250


Record 6
# NaLiIn2 PBE optimized geometry
# Size of the total moment ... 0.00 μB per formula unit
# DOS at the Fermi energy ... 6.8 states/eV/cell
# Energy above the most stable polymorph in this dataset ... 0.005 eV per atom
data_NaLiIn2
_chemical_formula_sum 'Na4 Li4 In8'
_space_group_name_H-M_alt 'F m -3 m'
_space_group_IT_number 225
_space_group_name_Hall '-F 4 2 3'
_cell_length_a 7.195
_cell_length_b 7.195
_cell_length_c 7.195
_cell_angle_alpha 90.00
_cell_angle_beta 90.00
_cell_angle_gamma 90.00
loop_
_atom_site_label
_atom_site_type_symbol
_atom_site_fract_x
_atom_site_fract_y
_atom_site_fract_z
Na1 Na 0.000 0.000 0.000
Li1 Li 0.000 0.000 0.500
In1 In 0.250 0.250 0.250


Record 7
# NaAl2Cu PBE optimized geometry
# Size of the total moment ... 0.00 μB per formula unit
# DOS at the Fermi energy ... 6.1 states/eV/cell
# Energy above the most stable polymorph in this dataset ... 0.352 eV per atom
data_NaAl2Cu
_chemical_formula_sum 'Na4 Al8 Cu4'
_space_group_name_H-M_alt 'I -4 2 d'
_space_group_IT_number 122
_space_group_name_Hall 'I -4 2bw'
_cell_length_a 4.992
_cell_length_b 4.992
_cell_length_c 16.459
_cell_angle_alpha 90.00
_cell_angle_beta 90.00
_cell_angle_gamma 90.00
loop_
_atom_site_label
_atom_site_type_symbol
_atom_site_fract_x
_atom_site_fract_y
_atom_site_fract_z
Na1 Na 0.000 0.000 0.000
Al1 Al 0.051 0.250 0.625
Cu1 Cu 0.000 0.000 0.500


Record 8
# Y4PtAu3 PBE optimized geometry
# Size of the total moment ... 0.00 μB per formula unit
# DOS at the Fermi energy ... 4.4 states/eV/cell
# Energy ... -6.2009 eV per atom
data_Y4PtAu3
_chemical_formula_sum 'Y4 Pt1 Au3'
_space_group_name_H-M_alt 'P m m 2'
_space_group_IT_number 25
_space_group_name_Hall 'P 2 -2'
_cell_length_a 3.764
_cell_length_b 4.665
_cell_length_c 10.834
_cell_angle_alpha 90.00
_cell_angle_beta 90.00
_cell_angle_gamma 90.00
loop_
_atom_site_label
_atom_site_type_symbol
_atom_site_fract_x
_atom_site_fract_y
_atom_site_fract_z
Y1 Y 0.000 0.000 0.000
Y2 Y 0.000 0.500 0.267
Y3 Y 0.500 0.000 0.484
Y4 Y 0.500 0.500 0.770
Pt1 Pt 0.500 0.000 0.217
Au1 Au 0.000 0.000 0.719
Au2 Au 0.000 0.500 0.543
Au3 Au 0.500 0.500 0.044


Record 9
# ZrBe PBE optimized geometry
# Size of the total moment ... 0.00 μB per formula unit
# DOS at the Fermi energy ... 11.4 states/eV/cell
# Energy ... -6.1364 eV per atom
data_ZrBe
_chemical_formula_sum 'Zr6 Be6'
_space_group_name_H-M_alt 'I m m m'
_space_group_IT_number 71
_space_group_name_Hall '-I 2 2'
_cell_length_a 3.515
_cell_length_b 4.025
_cell_length_c 13.802
_cell_angle_alpha 90.00
_cell_angle_beta 90.00
_cell_angle_gamma 90.00
loop_
_atom_site_label
_atom_site_type_symbol
_atom_site_fract_x
_atom_site_fract_y
_atom_site_fract_z
Zr1 Zr 0.000 0.000 0.000
Zr2 Zr 0.000 0.500 0.318
Be1 Be 0.000 0.000 0.500
Be2 Be 0.000 0.500 0.119


Record 10
# SiOs4 PBE optimized geometry
# Size of the total moment ... 0.00 μB per formula unit
# DOS at the Fermi energy ... 8.9 states/eV/cell
# Energy above the most stable polymorph in this dataset ... 0.000 eV per atom
# E_form (uncorrected) ... 730 meV/atom
data_SiOs4
_chemical_formula_sum 'Si2 Os8'
_space_group_name_H-M_alt 'I 4/m m m'
_space_group_IT_number 139
_space_group_name_Hall '-I 4 2'
_cell_length_a 3.501
_cell_length_b 3.501
_cell_length_c 13.078
_cell_angle_alpha 90.00
_cell_angle_beta 90.00
_cell_angle_gamma 90.00
loop_
_atom_site_label
_atom_site_type_symbol
_atom_site_fract_x
_atom_site_fract_y
_atom_site_fract_z
Si1 Si 0.000 0.000 0.000
Os1 Os 0.000 0.000 0.402
Os2 Os 0.000 0.500 0.250